Density functional theory data (PBE) for a relaxed Ba2ScInB crystal.

Fermi-level density of states	8.2	states/eV/cell
formation energy	1.103	eV per formula unit
theoretical density	4.252	g cm⁻³
DFT total energy	-3.6980	eV/atom
calculated volume	173.9	Å³ per cell
space group	P4/mmm (123)

a b c (Å): 6.177 4.557 6.177
angles (deg): 90.00 90.00 90.00
Fractional coordinates of all 5 atoms:
Sc (0.000, 0.500, 0.000)
B (0.000, 0.000, 0.000)
Ba (0.000, 0.000, 0.500)
Ba (0.500, 0.000, 0.000)
In (0.500, 0.500, 0.500)

---

Density functional theory data (PBE) for a relaxed Ni5IrSe12 crystal.

Fermi-level density of states	6.6	states/eV/cell
theoretical density	6.657	g cm⁻³
DFT total energy	-4.6859	eV/atom
calculated volume	357.5	Å³ per cell
space group	C2/m (12)

a b c (Å): 6.287 6.261 10.501
angles (deg): 90.22 90.43 59.87
Fractional coordinates of all 18 atoms:
Ni (0.500, 0.000, 0.500)
Ni (0.167, 0.667, 0.500)
Ni (0.833, 0.333, 0.500)
Ni (0.667, 0.667, 0.000)
Ni (0.333, 0.333, 0.000)
Ir (0.000, 0.000, 0.000)
Se (0.829, 0.000, 0.385)
Se (0.171, 0.000, 0.615)
Se (0.655, 0.000, 0.881)
Se (0.345, 0.000, 0.119)
Se (0.347, 0.656, 0.883)
Se (0.997, 0.656, 0.117)
Se (0.003, 0.344, 0.883)
Se (0.653, 0.344, 0.117)
Se (0.505, 0.331, 0.614)
Se (0.836, 0.669, 0.614)
Se (0.164, 0.331, 0.386)
Se (0.495, 0.669, 0.386)

---

Density functional theory data (PBE) for a relaxed Li2MnPd crystal.

Fermi-level density of states	10.0	states/eV/cell
formation energy	2.399	eV per formula unit
theoretical density	5.264	g cm⁻³
DFT total energy	-3.9478	eV/atom
calculated volume	110.6	Å³ per cell
space group	I-42d (122)

a b c (Å): 6.727 6.727 5.348
angles (deg): 51.03 51.03 90.00
Fractional coordinates of all 8 atoms:
Mn (0.500, 0.500, 0.000)
Mn (0.250, 0.750, 0.500)
Pd (0.000, 0.000, 0.000)
Pd (0.750, 0.250, 0.500)
Li (0.629, 0.125, 0.250)
Li (0.121, 0.625, 0.250)
Li (0.375, 0.371, 0.750)
Li (0.875, 0.879, 0.750)

---

Density functional theory data (PBE) for a relaxed Zr4Sc5 crystal.

Fermi-level density of states	32.2	states/eV/cell
formation energy	0.326	eV per formula unit
E above lowest polymorph	21	meV per atom
theoretical density	4.658	g cm⁻³
DFT total energy	-7.2805	eV/atom
calculated volume	420.4	Å³ per cell
space group	P6_3/mcm (193)

a b c (Å): 8.711 8.711 6.397
angles (deg): 90.00 90.00 60.00
Fractional coordinates of all 18 atoms:
Sc (0.334, 0.666, 0.250)
Sc (0.000, 0.334, 0.250)
Sc (0.666, 0.000, 0.250)
Sc (0.666, 0.334, 0.750)
Sc (0.000, 0.666, 0.750)
Sc (0.334, 0.000, 0.750)
Sc (0.333, 0.333, 0.000)
Sc (0.667, 0.667, 0.500)
Sc (0.667, 0.667, 0.000)
Sc (0.333, 0.333, 0.500)
Zr (0.000, 0.000, 0.000)
Zr (0.000, 0.000, 0.500)
Zr (0.671, 0.329, 0.250)
Zr (0.000, 0.671, 0.250)
Zr (0.329, 0.000, 0.250)
Zr (0.329, 0.671, 0.750)
Zr (0.000, 0.329, 0.750)
Zr (0.671, 0.000, 0.750)

---

Density functional theory data (PBE) for a relaxed Ac2Pr4Er3 crystal.

Fermi-level density of states	14.8	states/eV/cell
formation energy	0.404	eV per formula unit
theoretical density	7.769	g cm⁻³
DFT total energy	-4.5132	eV/atom
calculated volume	324.8	Å³ per cell
space group	C2/m (12)

a b c (Å): 6.441 6.441 11.081
angles (deg): 72.99 72.99 48.22
Fractional coordinates of all 9 atoms:
Ac (0.333, 0.333, 0.226)
Ac (0.667, 0.667, 0.774)
Pr (0.666, 0.666, 0.112)
Pr (0.003, 0.003, 0.663)
Pr (0.997, 0.997, 0.337)
Pr (0.334, 0.334, 0.888)
Er (0.338, 0.338, 0.553)
Er (0.000, 0.000, 0.000)
Er (0.662, 0.662, 0.447)

---

Density functional theory data (PBE) for a relaxed PrGdYTh crystal.

Fermi-level density of states	9.4	states/eV/cell
formation energy	0.737	eV per formula unit
theoretical density	7.667	g cm⁻³
DFT total energy	-8.0018	eV/atom
calculated volume	134.1	Å³ per cell
space group	F-43m (216)

a b c (Å): 5.745 5.745 5.745
angles (deg): 60.00 60.00 60.00
Fractional coordinates of all 4 atoms:
Pr (0.750, 0.750, 0.750)
Y (0.500, 0.500, 0.500)
Gd (0.250, 0.250, 0.250)
Th (0.000, 0.000, 0.000)

---

Density functional theory data (PBE) for a relaxed AcCd4Ag crystal.

Fermi-level density of states	7.1	states/eV/cell
formation energy	-1.148	eV per formula unit
E above lowest polymorph	22	meV per atom
theoretical density	8.396	g cm⁻³
DFT total energy	-1.9614	eV/atom
calculated volume	310.3	Å³ per cell
space group	Cmc2_1 (36)

a b c (Å): 4.853 7.722 8.629
angles (deg): 90.00 106.33 90.00
Fractional coordinates of all 12 atoms:
Ac (0.812, 0.949, 0.624)
Ac (0.188, 0.449, 0.376)
Cd (0.997, 0.200, 0.994)
Cd (0.003, 0.700, 0.006)
Cd (0.473, 0.950, 0.947)
Cd (0.527, 0.450, 0.053)
Cd (0.840, 0.436, 0.680)
Cd (0.160, 0.936, 0.320)
Cd (0.632, 0.150, 0.265)
Cd (0.368, 0.650, 0.735)
Ag (0.627, 0.748, 0.254)
Ag (0.373, 0.248, 0.746)

---

Density functional theory data (PBE) for a relaxed TiNbTl2Ru crystal.

Fermi-level density of states	5.6	states/eV/cell
formation energy	4.850	eV per formula unit
theoretical density	8.867	g cm⁻³
DFT total energy	-5.4246	eV/atom
calculated volume	121.8	Å³ per cell
space group	P4/mmm (123)

a b c (Å): 5.208 5.208 4.492
angles (deg): 90.00 90.00 90.00
Fractional coordinates of all 5 atoms:
Ru (0.000, 0.000, 0.000)
Tl (0.000, 0.500, 0.000)
Tl (0.500, 0.000, 0.000)
Nb (0.500, 0.500, 0.500)
Ti (0.000, 0.000, 0.500)